# LiNiPHO5 (GGA+U, relaxed)
data_LiNiPHO5
_chemical_formula_sum 'Li2 Ni2 P2 H2 O10'
_symmetry_space_group_name_H-M 'P -1'
_symmetry_Int_Tables_number 2
_cell_length_a 5.146
_cell_length_b 5.433
_cell_length_c 7.126
_cell_angle_alpha 106.67
_cell_angle_beta 108.16
_cell_angle_gamma 99.49
loop_
_symmetry_equiv_pos_as_xyz
'x,y,z'
'-x,-y,-z'
loop_
_atom_site_label
_atom_site_fract_x
_atom_site_fract_y
_atom_site_fract_z
_atom_site_occupancy
Li1 0.249 0.112 0.180 1
Ni1 0.000 0.500 0.000 1
Ni2 0.000 0.500 0.500 1
P1 0.325 0.135 0.764 1
H1 0.350 0.582 0.347 1
O1 0.117 0.155 0.881 1
O2 0.152 0.459 0.275 1
O3 0.281 0.280 0.605 1
O4 0.314 0.836 0.660 1
O5 0.363 0.754 0.068 1
# D(E_F), states/eV/f.u.: 2.8
# VASP energy, hartree per atom: -0.2163
# Size of the total moment, μB per formula unit: 1.0